(1)
# Ce2ThGe2Au2

A geometry-optimized Ce2ThGe2Au2 structure (PBE, the Alexandria database).

a b c (Å): 9.6874 9.6874 9.6874
angles (deg): 26.53 26.53 26.53
Closest atoms and distances in Å follow each position.
Fractional positions:
1 Ce 0.1423 0.1423 0.1423  3 Ce 2.91, 3 Ge 3.19
2 Ce 0.8577 0.8577 0.8577  3 Ce 2.91, 3 Ge 3.19
3 Th 0.0000 0.0000 0.0000  6 Au 3.22, 6 Ge 3.31
4 Ge 0.2585 0.2585 0.2585  3 Au 2.57
5 Ge 0.7415 0.7415 0.7415  3 Au 2.57
6 Au 0.4027 0.4027 0.4027  3 Ge 2.57
7 Au 0.5973 0.5973 0.5973  3 Ge 2.57

Summary:
- symmetry = No. 166
- energy of formation from the pure elements (kJ per mole of atoms) = -55
- electronic total energy (eV per atom) = -5.58
- total moment (μB/atom) = 0.289
- Fermi-level density of states (states/eV per cell) = 9.56

---

(2)
# Ce2TmGe2Au2

A geometry-optimized Ce2TmGe2Au2 structure (PBE, the Alexandria database).

a b c (Å): 9.4785 9.4785 9.4785
angles (deg): 26.88 26.88 26.88
Closest atoms and distances in Å follow each position.
Fractional positions:
1 Ce 0.1410 0.1410 0.1410  3 Ce 2.91, 4 Ge 3.13-3.23
2 Ce 0.8590 0.8590 0.8590  3 Ce 2.91, 4 Ge 3.13-3.23
3 Tm 0.0000 0.0000 0.0000  6 Au 3.08, 6 Ge 3.26
4 Ge 0.2590 0.2590 0.2590  3 Au 2.56
5 Ge 0.7410 0.7410 0.7410  3 Au 2.56
6 Au 0.3968 0.3968 0.3968  3 Ge 2.56
7 Au 0.6032 0.6032 0.6032  3 Ge 2.56

Summary:
- symmetry = No. 166
- energy of formation from the pure elements (kJ per mole of atoms) = -57
- electronic total energy (eV per atom) = -5.18
- total moment (μB/atom) = 0.239
- Fermi-level density of states (states/eV per cell) = 9.01

---

(3)
# Ce2YGe2Au2

A geometry-optimized Ce2YGe2Au2 structure (PBE, the Alexandria database).

a b c (Å): 9.5311 9.5311 9.5311
angles (deg): 26.83 26.83 26.83
Closest atoms and distances in Å follow each position.
Fractional positions:
1 Ce 0.1413 0.1413 0.1413  3 Ce 2.91, 4 Ge 3.15-3.24
2 Ce 0.8587 0.8587 0.8587  3 Ce 2.91, 4 Ge 3.15-3.24
3 Y 0.0000 0.0000 0.0000  6 Au 3.14, 6 Ge 3.28
4 Ge 0.2588 0.2588 0.2588  3 Au 2.56
5 Ge 0.7412 0.7412 0.7412  3 Au 2.56
6 Au 0.3997 0.3997 0.3997  3 Ge 2.56
7 Au 0.6003 0.6003 0.6003  3 Ge 2.56

Summary:
- symmetry = No. 166
- energy of formation from the pure elements (kJ per mole of atoms) = -59
- electronic total energy (eV per atom) = -5.48
- total moment (μB/atom) = 0.239
- Fermi-level density of states (states/eV per cell) = 9.31

---

(4)
# CeZnGeAu

A geometry-optimized CeZnGeAu structure (PBE, the Alexandria database).

a b c (Å): 4.8977 4.8977 4.8977
angles (deg): 60.00 60.00 60.00
Closest atoms and distances in Å follow each position.
Fractional positions:
1 Ce 0.0000 0.0000 0.0000  4 Ge 3.00, 4 Au 3.00
2 Zn 0.5000 0.5000 0.5000  4 Ge 3.00, 4 Au 3.00
3 Ge 0.2500 0.2500 0.2500  4 Ce 3.00, 4 Zn 3.00
4 Au 0.7500 0.7500 0.7500  4 Ce 3.00, 4 Zn 3.00

Summary:
- symmetry = No. 216
- energy of formation from the pure elements (kJ per mole of atoms) = -41
- electronic total energy (eV per atom) = -4.21
- total moment (μB/atom) = 0.170
- Fermi-level density of states (states/eV per cell) = 5.08

---

(5)
# Ce6HAu3

A geometry-optimized Ce6HAu3 structure (PBE, the Alexandria database).

a b c (Å): 10.3488 10.3488 4.4502
angles (deg): 90.00 90.00 104.27
Closest atoms and distances in Å follow each position.
Fractional positions:
1 Ce 0.0556 0.9444 0.7500  1 H 2.35
2 Ce 0.0829 0.5598 0.7500  1 H 2.48
3 Ce 0.2389 0.7611 0.2500  2 H 2.32
4 Ce 0.2795 0.3924 0.2500  2 Ce 2.89, 4 Au 3.16-3.19
5 Ce 0.3924 0.2795 0.7500  2 Ce 2.89, 4 Au 3.16-3.19
6 Ce 0.4402 0.9171 0.7500  1 H 2.48
7 Ce 0.5598 0.0829 0.2500  1 H 2.48
8 Ce 0.6076 0.7205 0.2500  2 Ce 2.89, 4 Au 3.16-3.19
9 Ce 0.7205 0.6076 0.7500  2 Ce 2.89, 4 Au 3.16-3.19
10 Ce 0.7611 0.2389 0.7500  2 H 2.32
11 Ce 0.9171 0.4402 0.2500  1 H 2.48
12 Ce 0.9444 0.0556 0.2500  1 H 2.35
13 H 0.1997 0.8003 0.7500  5 Ce 2.32-2.48
14 H 0.8003 0.1997 0.2500  5 Ce 2.32-2.48
15 Au 0.0658 0.2644 0.7500  8 Ce 3.02-3.35
16 Au 0.2644 0.0658 0.2500  8 Ce 3.02-3.35
17 Au 0.3937 0.6063 0.7500  10 Ce 3.13-3.38, 1 H 3.17
18 Au 0.6063 0.3937 0.2500  10 Ce 3.13-3.38, 1 H 3.17
19 Au 0.7356 0.9342 0.7500  8 Ce 3.02-3.35
20 Au 0.9342 0.7356 0.2500  8 Ce 3.02-3.35

Summary:
- symmetry = No. 63
- electronic total energy (eV per atom) = -5.26
- total moment (μB/atom) = 0.328
- Fermi-level density of states (states/eV per cell) = 54.07

---

(6)
# CeH3Au

A geometry-optimized CeH3Au structure (PBE, the Alexandria database).

a b c (Å): 6.4745 5.8189 6.6135
angles (deg): 90.00 90.00 90.00
Closest atoms and distances in Å follow each position.
Fractional positions:
1 Ce 0.1602 0.2500 0.1157  8 H 2.23-2.41
2 Ce 0.3398 0.7500 0.6157  8 H 2.23-2.41
3 Ce 0.6602 0.2500 0.3843  8 H 2.23-2.41
4 Ce 0.8398 0.7500 0.8843  8 H 2.23-2.41
5 H 0.0081 0.2500 0.4186  1 Au 1.77
6 H 0.1348 0.5064 0.8301  1 Au 1.92
7 H 0.1348 0.9936 0.8301  1 Au 1.92
8 H 0.3652 0.0064 0.3301  1 Au 1.92
9 H 0.3652 0.4936 0.3301  1 Au 1.92
10 H 0.4919 0.7500 0.9186  1 Au 1.77
11 H 0.5081 0.2500 0.0814  1 Au 1.77
12 H 0.6348 0.5064 0.6699  1 Au 1.92
13 H 0.6348 0.9936 0.6699  1 Au 1.92
14 H 0.8652 0.0064 0.1699  1 Au 1.92
15 H 0.8652 0.4936 0.1699  1 Au 1.92
16 H 0.9919 0.7500 0.5814  1 Au 1.77
17 Au 0.1489 0.2500 0.6489  3 H 1.77-1.92
18 Au 0.3511 0.7500 0.1489  3 H 1.77-1.92
19 Au 0.6489 0.2500 0.8511  3 H 1.77-1.92
20 Au 0.8511 0.7500 0.3511  3 H 1.77-1.92

Summary:
- symmetry = No. 62
- electronic total energy (eV per atom) = -4.15
- total moment (μB/atom) = 0.148
- Fermi-level density of states (states/eV per cell) = 19.34

---

Question: What is the Fermi-level density of states in the third record?
Answer: 9.31 states/eV per cell

---

Question: Which of these has the highest electronic total energy?
Answer: CeH3Au

---

Question: Number 3 is which compound?
Answer: Ce2YGe2Au2

---

Question: What is the electronic total energy in the third record?
Answer: -5.48 eV per atom